First-principles (PBE) data for DyTmMgOs after structural relaxation, as listed in the Alexandria database.

## Properties
- distance to the lowest polymorph of the same formula (eV/atom) = 0.0648
- formation energy from the elements (eV/atom) = -0.169
- DOS(E_F) (states/eV/f.u.) = 3.5

Lattice parameters (Å, degrees): 7.018 7.018 7.018 90.00 90.00 90.00
Space group F-43m (No. 216)
Asymmetric unit:
Dy1 0.000 0.000 0.000
Tm1 0.000 0.000 0.500
Mg1 0.250 0.250 0.250
Os1 0.250 0.250 0.750

=====

First-principles (PBE) data for Pr3Er5Sc2 after structural relaxation, as listed in the Alexandria database.

## Properties
- formation energy from the elements (eV/atom) = 0.368
- DOS(E_F) (states/eV/f.u.) = 13.3

Lattice parameters (Å, degrees): 9.090 13.497 10.751 90.00 90.00 90.00
Space group Ibam (No. 72)
Asymmetric unit:
Pr1 0.000 0.000 0.250
Pr2 0.132 0.395 0.000
Er1 0.000 0.249 0.250
Er2 0.000 0.500 0.250
Er3 0.230 0.355 0.500
Sc1 0.060 0.121 0.500